Record 1
SrCaRe | PBEsol | relaxed

Values from the calculation:
Crystal system = cubic

The structure in CIF format:
```
data_SrCaRe
_space_group_name_H-M_alt 'F -4 3 m'
_space_group_IT_number 216
_space_group_name_Hall 'F -4 2 3'
_cell_length_a 7.1377
_cell_length_b 7.1377
_cell_length_c 7.1377
_cell_angle_alpha 90.00
_cell_angle_beta 90.00
_cell_angle_gamma 90.00
loop_
_atom_site_label
_atom_site_type_symbol
_atom_site_fract_x
_atom_site_fract_y
_atom_site_fract_z
_atom_site_occupancy
Sr1 Sr 0.0000 0.0000 0.0000 1
Ca1 Ca 0.0000 0.0000 0.5000 1
Re1 Re 0.2500 0.2500 0.2500 1
```

Record 2
SrCa3Re | PBEsol | relaxed

Values from the calculation:
Crystal system = cubic

The structure in CIF format:
```
data_SrCa3Re
_space_group_name_H-M_alt 'P m -3 m'
_space_group_IT_number 221
_space_group_name_Hall '-P 4 2 3'
_cell_length_a 5.6336
_cell_length_b 5.6336
_cell_length_c 5.6336
_cell_angle_alpha 90.00
_cell_angle_beta 90.00
_cell_angle_gamma 90.00
loop_
_atom_site_label
_atom_site_type_symbol
_atom_site_fract_x
_atom_site_fract_y
_atom_site_fract_z
_atom_site_occupancy
Sr1 Sr 0.0000 0.0000 0.0000 1
Ca1 Ca 0.0000 0.5000 0.5000 1
Re1 Re 0.5000 0.5000 0.5000 1
```

Record 3
CaTaRe2 | PBEsol | relaxed

Values from the calculation:
Crystal system = orthorhombic
E above lowest polymorph = 0.133 eV per atom

The structure in CIF format:
```
data_CaTaRe2
_space_group_name_H-M_alt 'I m m m'
_space_group_IT_number 71
_space_group_name_Hall '-I 2 2'
_cell_length_a 3.1291
_cell_length_b 4.8081
_cell_length_c 9.1031
_cell_angle_alpha 90.00
_cell_angle_beta 90.00
_cell_angle_gamma 90.00
loop_
_atom_site_label
_atom_site_type_symbol
_atom_site_fract_x
_atom_site_fract_y
_atom_site_fract_z
_atom_site_occupancy
Ca1 Ca 0.0000 0.0000 0.0000 1
Ta1 Ta 0.0000 0.0000 0.5000 1
Re1 Re 0.0000 0.5000 0.2354 1
```

Record 4
CaTaRe2 | PBEsol | relaxed

Values from the calculation:
Crystal system = monoclinic
E above lowest polymorph = 0.030 eV per atom

The structure in CIF format:
```
data_CaTaRe2
_space_group_name_H-M_alt 'P 1 2/m 1'
_space_group_IT_number 10
_space_group_name_Hall '-P 2y'
_cell_length_a 2.7107
_cell_length_b 4.4369
_cell_length_c 5.9028
_cell_angle_alpha 90.00
_cell_angle_beta 98.02
_cell_angle_gamma 90.00
loop_
_atom_site_label
_atom_site_type_symbol
_atom_site_fract_x
_atom_site_fract_y
_atom_site_fract_z
_atom_site_occupancy
Ca1 Ca 0.0000 0.0000 0.0000 1
Ta1 Ta 0.5000 0.0000 0.5000 1
Re1 Re 0.2500 0.5000 0.7161 1
```

Record 5
CaTaRe2 | PBEsol | relaxed

Values from the calculation:
Crystal system = monoclinic
E above lowest polymorph = 0.089 eV per atom

The structure in CIF format:
```
data_CaTaRe2
_space_group_name_H-M_alt 'C 1 2/m 1'
_space_group_IT_number 12
_space_group_name_Hall '-C 2y'
_cell_length_a 5.8017
_cell_length_b 9.1185
_cell_length_c 2.6863
_cell_angle_alpha 90.00
_cell_angle_beta 108.48
_cell_angle_gamma 90.00
loop_
_atom_site_label
_atom_site_type_symbol
_atom_site_fract_x
_atom_site_fract_y
_atom_site_fract_z
_atom_site_occupancy
Ca1 Ca 0.0000 0.0000 0.0000 1
Ta1 Ta 0.0000 0.5000 0.0000 1
Re1 Re 0.2500 0.2500 0.5000 1
```

Record 6
CaTaRe | PBEsol | relaxed

Values from the calculation:
Crystal system = cubic

The structure in CIF format:
```
data_CaTaRe
_space_group_name_H-M_alt 'F -4 3 m'
_space_group_IT_number 216
_space_group_name_Hall 'F -4 2 3'
_cell_length_a 6.2721
_cell_length_b 6.2721
_cell_length_c 6.2721
_cell_angle_alpha 90.00
_cell_angle_beta 90.00
_cell_angle_gamma 90.00
loop_
_atom_site_label
_atom_site_type_symbol
_atom_site_fract_x
_atom_site_fract_y
_atom_site_fract_z
_atom_site_occupancy
Ca1 Ca 0.0000 0.0000 0.0000 1
Ta1 Ta 0.2500 0.2500 0.2500 1
Re1 Re 0.2500 0.2500 0.7500 1
```

Record 7
CaTaRe2 | PBEsol | relaxed

Values from the calculation:
Crystal system = orthorhombic
E above lowest polymorph = 0.000 eV per atom

The structure in CIF format:
```
data_CaTaRe2
_space_group_name_H-M_alt 'I m m 2'
_space_group_IT_number 44
_space_group_name_Hall 'I 2 -2'
_cell_length_a 3.0859
_cell_length_b 4.7370
_cell_length_c 9.5168
_cell_angle_alpha 90.00
_cell_angle_beta 90.00
_cell_angle_gamma 90.00
loop_
_atom_site_label
_atom_site_type_symbol
_atom_site_fract_x
_atom_site_fract_y
_atom_site_fract_z
_atom_site_occupancy
Ca1 Ca 0.0000 0.0000 0.0000 1
Ta1 Ta 0.0000 0.5000 0.2248 1
Re1 Re 0.0000 0.0000 0.4863 1
Re2 Re 0.0000 0.5000 0.7670 1
```

Record 8
CaTaRe3 | PBEsol | relaxed

Values from the calculation:
Crystal system = cubic

The structure in CIF format:
```
data_CaTaRe3
_space_group_name_H-M_alt 'P m -3 m'
_space_group_IT_number 221
_space_group_name_Hall '-P 4 2 3'
_cell_length_a 4.7996
_cell_length_b 4.7996
_cell_length_c 4.7996
_cell_angle_alpha 90.00
_cell_angle_beta 90.00
_cell_angle_gamma 90.00
loop_
_atom_site_label
_atom_site_type_symbol
_atom_site_fract_x
_atom_site_fract_y
_atom_site_fract_z
_atom_site_occupancy
Ca1 Ca 0.0000 0.0000 0.0000 1
Ta1 Ta 0.5000 0.5000 0.5000 1
Re1 Re 0.0000 0.5000 0.5000 1
```

| no. | E_form (eV per atom) | total moment (Bohr magnetons per cell) |
| --- | --- | --- |
| 1 | 1.356 | 6.195 |
| 2 | 0.601 | 1.442 |
| 3 | 0.586 | 0.000 |
| 4 | 0.483 | 0.000 |
| 5 | 0.541 | 0.000 |
| 6 | 2.359 | 0.003 |
| 7 | 0.453 | 0.000 |
| 8 | 1.869 | 2.476 |